No. 1
Below is a relaxed structure of KTl3Se2O8, with properties calculated at the PBE-GGA level.

- final energy (eV per atom) = -4.891
- DOS(E_F) (states/eV/atom) = 0.000

abc: 6.2457 6.2457 8.1358
angles: 90.00 90.00 120.00
With the nearest neighbours (Å) after each atom.
Positions (direct):
K  0.0000  0.0000  0.0000  6 O 2.71
Tl  0.0000  0.0000  0.5000  6 O 3.04
Tl  0.3333  0.6667  0.1912  1 O 2.53
Tl  0.6667  0.3333  0.8088  1 O 2.53
Se  0.3333  0.6667  0.7066  4 O 1.67-1.68
Se  0.6667  0.3333  0.2934  4 O 1.67-1.68
O  0.1872  0.3745  0.7783  1 Se 1.68
O  0.1872  0.8128  0.7783  1 Se 1.68
O  0.3333  0.6667  0.5018  1 Se 1.67
O  0.3745  0.1872  0.2217  1 Se 1.68
O  0.6255  0.8128  0.7783  1 Se 1.68
O  0.6667  0.3333  0.4982  1 Se 1.67
O  0.8128  0.1872  0.2217  1 Se 1.68
O  0.8128  0.6255  0.2217  1 Se 1.68


No. 2
Below is a relaxed structure of KTlSe2O6, with properties calculated at the PBE-GGA level.

- final energy (eV per atom) = -4.909
- DOS(E_F) (states/eV/atom) = 0.322

abc: 7.8626 7.8626 6.8526
angles: 102.15 102.15 89.82
With the nearest neighbours (Å) after each atom.
Positions (direct):
K  0.1101  0.8899  0.7500  6 O 2.73-2.82
K  0.8899  0.1101  0.2500  6 O 2.73-2.82
Tl  0.2964  0.7036  0.2500  4 O 2.80-2.87
Tl  0.7036  0.2964  0.7500  4 O 2.80-2.87
Se  0.2069  0.3641  0.7408  3 O 1.68-1.74
Se  0.3641  0.2069  0.2408  3 O 1.68-1.74
Se  0.6359  0.7931  0.7592  3 O 1.68-1.74
Se  0.7931  0.6359  0.2592  3 O 1.68-1.74
O  0.0330  0.2222  0.6683  1 Se 1.69
O  0.1417  0.5634  0.8286  1 Se 1.68
O  0.2222  0.0330  0.1683  1 Se 1.69
O  0.3000  0.3558  0.4347  1 Se 1.74
O  0.3558  0.3000  0.9347  1 Se 1.74
O  0.4366  0.8583  0.6714  1 Se 1.68
O  0.5634  0.1417  0.3286  1 Se 1.68
O  0.6442  0.7000  0.0653  1 Se 1.74
O  0.7000  0.6442  0.5653  1 Se 1.74
O  0.7778  0.9670  0.8317  1 Se 1.69
O  0.8583  0.4366  0.1714  1 Se 1.68
O  0.9670  0.7778  0.3317  1 Se 1.69


No. 3
Below is a relaxed structure of KTlSeO6, with properties calculated at the PBE-GGA level.

- final energy (eV per atom) = -4.654
- DOS(E_F) (states/eV/atom) = 0.202

abc: 5.4747 5.4747 5.8888
angles: 90.00 90.00 120.00
With the nearest neighbours (Å) after each atom.
Positions (direct):
K  0.0000  0.0000  0.0000  6 O 2.80
Tl  0.3333  0.6667  0.5000  6 O 2.25
Se  0.6667  0.3333  0.5000  6 O 1.81
O  0.4083  0.0599  0.6831  1 Se 1.81
O  0.4083  0.3484  0.3169  1 Se 1.81
O  0.6516  0.0599  0.3169  1 Se 1.81
O  0.6516  0.5917  0.6831  1 Se 1.81
O  0.9401  0.3484  0.6831  1 Se 1.81
O  0.9401  0.5917  0.3169  1 Se 1.81


No. 4
Below is a relaxed structure of K3TlSe2O8, with properties calculated at the PBE-GGA level.

- final energy (eV per atom) = -4.978
- DOS(E_F) (states/eV/atom) = 0.000

abc: 6.1695 6.1695 8.3137
angles: 90.00 90.00 120.00
With the nearest neighbours (Å) after each atom.
Positions (direct):
K  0.0000  0.0000  0.0000  6 O 3.02
K  0.3333  0.6667  0.6975  1 O 2.54
K  0.6667  0.3333  0.3025  1 O 2.54
Tl  0.0000  0.0000  0.5000  6 O 2.73
Se  0.3333  0.6667  0.2026  4 O 1.66-1.69
Se  0.6667  0.3333  0.7974  4 O 1.66-1.69
O  0.1854  0.3708  0.2739  1 Se 1.69
O  0.1854  0.8146  0.2739  1 Se 1.69
O  0.3333  0.6667  0.0032  1 Se 1.66
O  0.3708  0.1854  0.7261  1 Se 1.69
O  0.6292  0.8146  0.2739  1 Se 1.69
O  0.6667  0.3333  0.9968  1 Se 1.66
O  0.8146  0.1854  0.7261  1 Se 1.69
O  0.8146  0.6292  0.7261  1 Se 1.69


Question: What is the DOS(E_F) in the first record?
Answer: 0.000 states/eV/atom


Question: Among the records above, which one has the highest final energy?
Answer: KTlSeO6